# MnP2Pt PBE relaxed
# - formation energy (eV/f.u.) = -0.2
# - energy relative to the lowest polymorph listed for this composition (eV per formula unit) = 0.92
data_MnP2Pt
_symmetry_space_group_name_H-M 'C 1 2/m 1'
_symmetry_Int_Tables_number 12
_cell_length_a 6.012
_cell_length_b 5.957
_cell_length_c 3.129
_cell_angle_alpha 90.00
_cell_angle_beta 90.23
_cell_angle_gamma 90.00
loop_
_symmetry_equiv_pos_as_xyz
'x,y,z'
'-x,-y,-z'
'-x,y,-z'
'x,-y,z'
'x+1/2,y+1/2,z'
'-x+1/2,-y+1/2,-z'
'-x+1/2,y+1/2,-z'
'x+1/2,-y+1/2,z'
loop_
_atom_site_label
_atom_site_type_symbol
_atom_site_fract_x
_atom_site_fract_y
_atom_site_fract_z
Mn1 Mn 0.000 0.000 0.000
P1 P 0.250 0.250 0.500
Pt1 Pt 0.000 0.500 0.000

***

# Mn2PPt2 PBE relaxed
# - formation energy (eV/f.u.) = -0.4
data_Mn2PPt2
_symmetry_space_group_name_H-M 'P 4/m b m'
_symmetry_Int_Tables_number 127
_symmetry_space_group_name_Hall '-P 4 2ab'
_cell_length_a 5.771
_cell_length_b 5.771
_cell_length_c 4.052
_cell_angle_alpha 90.00
_cell_angle_beta 90.00
_cell_angle_gamma 90.00
loop_
_atom_site_label
_atom_site_type_symbol
_atom_site_fract_x
_atom_site_fract_y
_atom_site_fract_z
Mn1 Mn 0.136 0.364 0.000
P1 P 0.000 0.000 0.000
Pt1 Pt 0.159 0.659 0.500

***

# Mn2P2Pt PBE relaxed
# - formation energy (eV/f.u.) = -1.5
data_Mn2P2Pt
_symmetry_space_group_name_H-M 'P 4/m b m'
_symmetry_Int_Tables_number 127
_symmetry_space_group_name_Hall '-P 4 2ab'
_cell_length_a 6.576
_cell_length_b 6.576
_cell_length_c 2.927
_cell_angle_alpha 90.00
_cell_angle_beta 90.00
_cell_angle_gamma 90.00
loop_
_atom_site_label
_atom_site_type_symbol
_atom_site_fract_x
_atom_site_fract_y
_atom_site_fract_z
Mn1 Mn 0.138 0.362 0.000
P1 P 0.149 0.649 0.500
Pt1 Pt 0.000 0.000 0.500

***

# MnP2Pt PBE relaxed
# - formation energy (eV/f.u.) = -0.4
# - energy relative to the lowest polymorph listed for this composition (eV per formula unit) = 0.80
data_MnP2Pt
_symmetry_space_group_name_H-M 'R 3 m'
_symmetry_Int_Tables_number 160
_symmetry_space_group_name_Hall 'R 3 -2"'
_cell_length_a 3.1958
_cell_length_b 3.1958
_cell_length_c 20.6699
_cell_angle_alpha 90.00
_cell_angle_beta 90.00
_cell_angle_gamma 120.00
loop_
_atom_site_label
_atom_site_type_symbol
_atom_site_fract_x
_atom_site_fract_y
_atom_site_fract_z
Mn1 Mn 0.0000 0.0000 0.0000
P1 P 0.0000 0.0000 0.2670
P2 P 0.0000 0.0000 0.5054
Pt1 Pt 0.0000 0.0000 0.7693

***

# MnPPt4 PBE relaxed
# - formation energy (eV/f.u.) = 1.5
data_MnPPt4
_symmetry_space_group_name_H-M 'F -4 3 m'
_symmetry_Int_Tables_number 216
_symmetry_space_group_name_Hall 'F -4 2 3'
_cell_length_a 7.439
_cell_length_b 7.439
_cell_length_c 7.439
_cell_angle_alpha 90.00
_cell_angle_beta 90.00
_cell_angle_gamma 90.00
loop_
_atom_site_label
_atom_site_type_symbol
_atom_site_fract_x
_atom_site_fract_y
_atom_site_fract_z
Mn1 Mn 0.000 0.000 0.000
P1 P 0.250 0.250 0.750
Pt1 Pt 0.125 0.125 0.375

***

# MnPPt3 PBE relaxed
# - formation energy (eV/f.u.) = 0.5
# - energy relative to the lowest polymorph listed for this composition (eV per formula unit) = 0.00
data_MnPPt3
_symmetry_space_group_name_H-M 'P m -3 m'
_symmetry_Int_Tables_number 221
_symmetry_space_group_name_Hall '-P 4 2 3'
_cell_length_a 4.501
_cell_length_b 4.501
_cell_length_c 4.501
_cell_angle_alpha 90.00
_cell_angle_beta 90.00
_cell_angle_gamma 90.00
loop_
_atom_site_label
_atom_site_type_symbol
_atom_site_fract_x
_atom_site_fract_y
_atom_site_fract_z
Mn1 Mn 0.000 0.000 0.000
P1 P 0.500 0.500 0.500
Pt1 Pt 0.000 0.500 0.500

***

Number 1: DOS at the Fermi energy 0.4840 states/eV/atom. Number 2: DOS at the Fermi energy 1.1241 states/eV/atom. Number 3: DOS at the Fermi energy 0.6078 states/eV/atom. Number 4: DOS at the Fermi energy 0.5136 states/eV/atom. Number 5: DOS at the Fermi energy 1.0699 states/eV/atom. Number 6: DOS at the Fermi energy 0.5355 states/eV/atom.